# 1
Material: TbNbGe4
Method: DFT, PBE-GGA
State: optimized geometry

## Properties
- V (A^3/atom) = 27.3
- VASP energy (eV/cell) = -30.5

Cell: 5.8936 5.8936 4.7294 Å, 90.00 90.00 93.10°
Fractional coordinates of all 6 atoms:
Ge: 0.6509 0.6509 0.5000
Ge: 0.7939 0.2061 0.0000
Ge: 0.3491 0.3491 0.5000
Ge: 0.2061 0.7939 0.0000
Nb: 0.5000 0.5000 0.0000
Tb: 0.0000 0.0000 0.5000

***

# 2
Material: Dy3Sb2Pt2
Method: DFT, PBE-GGA
State: optimized geometry

## Properties
- V (A^3/atom) = 23.8
- VASP energy (eV/cell) = -41.6

Cell: 11.0962 11.0962 3.6902 Å, 90.00 90.00 158.46°
Fractional coordinates of all 7 atoms:
Dy: 0.0000 0.0000 0.5000
Dy: 0.8275 0.1725 0.5000
Dy: 0.1725 0.8275 0.5000
Pt: 0.2923 0.7077 0.0000
Pt: 0.7077 0.2923 0.0000
Sb: 0.4190 0.5810 0.0000
Sb: 0.5810 0.4190 0.0000

***

# 3
Material: Li4Zn2CoPd
Method: DFT, PBE-GGA
State: optimized geometry

## Properties
- V (A^3/atom) = 13.1
- VASP energy (eV/cell) = -24.0

Cell: 4.1842 4.1842 5.9730 Å, 90.00 90.00 90.00°
Last column: magnetic moment on the atom in μB.
Fractional coordinates of all 8 atoms:
Zn: 0.5000 0.0000 0.7706  -0.01
Zn: 0.0000 0.5000 0.2294  -0.01
Pd: 0.5000 0.5000 0.5000  0.00
Li: 0.5000 0.5000 0.0000  0.00
Li: 0.0000 0.0000 0.5000  0.00
Li: 0.5000 0.0000 0.2450  0.00
Li: 0.0000 0.5000 0.7550  0.00
Co: 0.0000 0.0000 0.0000  0.19

***

# 4
Material: DyBiOs
Method: DFT, PBE-GGA
State: optimized geometry

## Properties
- V (A^3/atom) = 24.9
- VASP energy (eV/cell) = -19.9

Cell: 4.7279 4.7279 4.7279 Å, 60.00 60.00 60.00°
Fractional coordinates of all 3 atoms:
Dy: 0.7500 0.7500 0.7500
Bi: 0.2500 0.2500 0.2500
Os: 0.0000 0.0000 0.0000

***

# 5
Material: RbLa2Cu3Te5
Method: DFT, PBE-GGA
State: optimized geometry

## Properties
- V (A^3/atom) = 30.1
- VASP energy (eV/cell) = -95.2

Cell: 8.1283 8.1283 18.8627 Å, 90.00 90.00 147.96°
Fractional coordinates of all 22 atoms:
Rb: 0.0572 0.9428 0.2500
Rb: 0.9428 0.0572 0.7500
Cu: 0.4161 0.5839 0.5205
Cu: 0.3371 0.6629 0.2500
Cu: 0.4161 0.5839 0.9795
Cu: 0.5839 0.4161 0.4795
Cu: 0.6629 0.3371 0.7500
Cu: 0.5839 0.4161 0.0205
La: 0.8070 0.1930 0.0914
La: 0.8070 0.1930 0.4086
La: 0.1930 0.8070 0.9086
La: 0.1930 0.8070 0.5914
Te: 0.4470 0.5530 0.1199
Te: 0.8455 0.1545 0.9275
Te: 0.2495 0.7505 0.7500
Te: 0.5530 0.4470 0.8801
Te: 0.8455 0.1545 0.5725
Te: 0.5530 0.4470 0.6199
Te: 0.1545 0.8455 0.0725
Te: 0.7505 0.2495 0.2500
Te: 0.4470 0.5530 0.3801
Te: 0.1545 0.8455 0.4275

***

# 6
Material: NaBeTcOs
Method: DFT, PBE-GGA
State: optimized geometry

## Properties
- V (A^3/atom) = 13.7
- VASP energy (eV/cell) = -24.3

Cell: 4.2676 4.2676 4.2676 Å, 60.00 60.00 60.00°
Fractional coordinates of all 4 atoms:
Os: 0.0000 0.0000 0.0000
Tc: 0.2500 0.2500 0.2500
Na: 0.7500 0.7500 0.7500
Be: 0.5000 0.5000 0.5000

***

# 7
Material: LaHoNi2B2N2
Method: DFT, PBE-GGA
State: optimized geometry

## Properties
- V (A^3/atom) = 12.2
- VASP energy (eV/cell) = -58.6

Cell: 3.5984 3.5984 7.5197 Å, 90.00 90.00 90.00°
Fractional coordinates of all 8 atoms:
Ho: 0.5000 0.5000 0.1699
B: 0.0000 0.0000 0.3475
B: 0.5000 0.5000 0.6561
N: 0.0000 0.0000 0.1549
N: 0.5000 0.5000 0.8515
Ni: 0.0000 0.5000 0.4959
Ni: 0.5000 0.0000 0.4959
La: 0.0000 0.0000 0.8284

***

# 8
Material: BaNbNO
Method: DFT, PBE-GGA
State: optimized geometry

## Properties
- V (A^3/atom) = 18.8
- VASP energy (eV/cell) = -61.3

Cell: 3.8267 6.1380 6.4118 Å, 90.00 90.00 90.00°
Fractional coordinates of all 8 atoms:
Ba: 0.0000 0.0192 0.6507
Ba: 0.0000 0.5192 0.3493
Nb: 0.5000 0.9743 0.1089
Nb: 0.5000 0.4743 0.8911
O: 0.5000 0.3062 0.1630
O: 0.5000 0.8062 0.8370
N: 0.0000 0.9543 0.2066
N: 0.0000 0.4543 0.7934

***

# 9
Material: SrNdCuSe3
Method: DFT, PBE-GGA
State: optimized geometry

## Properties
- V (A^3/atom) = 26.9
- VASP energy (eV/cell) = -59.5

Cell: 8.4914 4.1367 9.4624 Å, 90.00 103.75 90.00°
Fractional coordinates of all 12 atoms:
Se: 0.9290 0.7500 0.6622
Se: 0.5807 0.2500 0.3536
Se: 0.4193 0.7500 0.6464
Se: 0.7233 0.7500 0.0189
Se: 0.2767 0.2500 0.9811
Se: 0.0710 0.2500 0.3378
Sr: 0.6995 0.2500 0.7617
Sr: 0.3005 0.7500 0.2383
Cu: 0.5802 0.2500 0.0893
Cu: 0.4198 0.7500 0.9107
Nd: 0.1810 0.2500 0.6653
Nd: 0.8190 0.7500 0.3347

***

# 10
Material: HfTaPO
Method: DFT, PBE-GGA
State: optimized geometry

## Properties
- V (A^3/atom) = 14.5
- VASP energy (eV/cell) = -76.8

Cell: 3.7686 3.7686 8.1873 Å, 90.00 90.00 90.00°
Fractional coordinates of all 8 atoms:
O: 0.5000 0.5000 0.0000
O: 0.0000 0.0000 0.0000
Ta: 0.0000 0.0000 0.5000
Ta: 0.5000 0.5000 0.5000
Hf: 0.0000 0.5000 0.1433
Hf: 0.5000 0.0000 0.8567
P: 0.5000 0.0000 0.2835
P: 0.0000 0.5000 0.7165

***

# 11
Material: Tm3Lu3Bi2Os
Method: DFT, PBE-GGA
State: optimized geometry

## Properties
- V (A^3/atom) = 26.9
- VASP energy (eV/cell) = -51.1

Cell: 8.1515 8.1515 4.2007 Å, 90.00 90.00 120.00°
Fractional coordinates of all 9 atoms:
Os: 0.0000 0.0000 0.0000
Lu: 0.0000 0.6202 0.0000
Lu: 0.3798 0.3798 0.0000
Lu: 0.6202 0.0000 0.0000
Tm: 0.2342 0.0000 0.5000
Tm: 0.0000 0.2342 0.5000
Tm: 0.7658 0.7658 0.5000
Bi: 0.6667 0.3333 0.5000
Bi: 0.3333 0.6667 0.5000

***

# 12
Material: ErTm2Sc3AgTe2
Method: DFT, PBE-GGA
State: optimized geometry

## Properties
- V (A^3/atom) = 24.5
- VASP energy (eV/cell) = -47.3

Cell: 3.9334 8.0406 8.0406 Å, 119.97 90.00 90.00°
Fractional coordinates of all 9 atoms:
Tm: 0.0000 0.0000 0.6028
Tm: 0.0000 0.6028 0.0000
Sc: 0.5000 0.7480 0.7480
Sc: 0.5000 0.0000 0.2519
Sc: 0.5000 0.2519 0.0000
Te: 0.5000 0.3332 0.6670
Te: 0.5000 0.6670 0.3332
Er: 0.0000 0.3982 0.3982
Ag: 0.0000 0.9989 0.9989